# ScBeCr | the Alexandria database | PBE | relaxed
# Total DFT energy (no corrections) ... -77.27 eV per cell
# M_tot ... 0.00 μB/f.u.
data_ScBeCr
_chemical_formula_sum 'Sc4 Be4 Cr4'
_cell_length_a 6.809
_cell_length_b 3.273
_cell_length_c 10.001
_cell_angle_alpha 90.00
_cell_angle_beta 127.73
_cell_angle_gamma 90.00
_symmetry_space_group_name_H-M 'P 1'
_symmetry_Int_Tables_number 1
loop_
_symmetry_equiv_pos_as_xyz
'x,y,z'
loop_
_atom_site_label
_atom_site_type_symbol
_atom_site_fract_x
_atom_site_fract_y
_atom_site_fract_z
_atom_site_occupancy
Cr1 Cr 0.679 0.500 0.399 1
Cr2 Cr 0.679 0.000 0.899 1
Cr3 Cr 0.939 0.000 0.556 1
Cr4 Cr 0.939 0.500 0.056 1
Be1 Be 0.294 0.000 0.843 1
Be2 Be 0.294 0.500 0.343 1
Be3 Be 0.547 0.500 0.010 1
Be4 Be 0.547 0.000 0.510 1
Sc1 Sc 0.914 0.500 0.768 1
Sc2 Sc 0.914 0.000 0.268 1
Sc3 Sc 0.335 0.000 0.133 1
Sc4 Sc 0.335 0.500 0.633 1